*w*
First-principles (PBE-GGA) data for a relaxed structure of Cd2FeCl, as listed in Alexandria via LeMat-Bulk.

a = 4.0677 Å, b = 4.0677 Å, c = 9.9203 Å
α = 90.00°, β = 90.00°, γ = 90.00°
With the nearest neighbours (Å) after each atom.
Element x y z (fractional)
Cd  0.0000  0.0000  0.0000  4 Fe 2.88, 4 Cd 3.21, 4 Cl 3.21
Cd  0.0000  0.5000  0.2500  4 Cl 2.88, 4 Cd 3.21, 4 Fe 3.21
Cd  0.5000  0.0000  0.7500  4 Cl 2.88, 4 Cd 3.21, 4 Fe 3.21
Cd  0.5000  0.5000  0.5000  4 Fe 2.88, 4 Cd 3.21, 4 Cl 3.21
Fe  0.0000  0.0000  0.5000  8 Cd 2.88-3.21, 4 Cl 3.21
Fe  0.5000  0.5000  0.0000  8 Cd 2.88-3.21, 4 Cl 3.21
Cl  0.0000  0.5000  0.7500  8 Cd 2.88-3.21, 4 Fe 3.21
Cl  0.5000  0.0000  0.2500  8 Cd 2.88-3.21, 4 Fe 3.21

## Properties
The calculation puts the calculated volume at 20.52 A^3/atom.

---

*x*
First-principles (PBE-GGA) data for a relaxed structure of Cd2FeCl, as listed in Alexandria via LeMat-Bulk.

a = 3.0051 Å, b = 4.8214 Å, c = 12.3472 Å
α = 90.00°, β = 90.00°, γ = 90.00°
With the nearest neighbours (Å) after each atom.
Element x y z (fractional)
Cd  0.0000  0.0000  0.0000  4 Fe 2.88, 4 Cd 3.01-3.05
Cd  0.0000  0.5000  0.1510  2 Fe 2.76, 4 Cd 3.01-3.05
Cd  0.5000  0.0000  0.6510  2 Fe 2.76, 4 Cd 3.01-3.05
Cd  0.5000  0.5000  0.5000  4 Fe 2.88, 4 Cd 3.01-3.05
Fe  0.0000  0.0000  0.4636  2 Cl 2.37
Fe  0.5000  0.5000  0.9636  2 Cl 2.37
Cl  0.0000  0.5000  0.8151  2 Fe 2.37
Cl  0.5000  0.0000  0.3151  2 Fe 2.37

## Properties
The calculation puts the calculated volume at 22.36 A^3/atom.

---

In order of decreasing stability: *x*, *w*.

---

*w*
First-principles (PBE-GGA) data for a relaxed structure of CdFeCl4, as listed in Alexandria via LeMat-Bulk.

a = 5.8651 Å, b = 5.8651 Å, c = 10.9380 Å
α = 90.00°, β = 90.00°, γ = 90.00°
With the nearest neighbours (Å) after each atom.
Element x y z (fractional)
Cd  0.0000  0.0000  0.0000  4 Cl 2.52
Cd  0.5000  0.5000  0.5000  4 Cl 2.52
Fe  0.0000  0.5000  0.2500  4 Cl 2.30
Fe  0.5000  0.0000  0.7500  4 Cl 2.30
Cl  0.2264  0.2731  0.3706  1 Fe 2.30, 1 Cd 2.52
Cl  0.2269  0.7264  0.1294  1 Fe 2.30, 1 Cd 2.52
Cl  0.2731  0.7736  0.6294  1 Fe 2.30, 1 Cd 2.52
Cl  0.2736  0.2269  0.8706  1 Fe 2.30, 1 Cd 2.52
Cl  0.7264  0.7731  0.8706  1 Fe 2.30, 1 Cd 2.52
Cl  0.7269  0.2264  0.6294  1 Fe 2.30, 1 Cd 2.52
Cl  0.7731  0.2736  0.1294  1 Fe 2.30, 1 Cd 2.52
Cl  0.7736  0.7269  0.3706  1 Fe 2.30, 1 Cd 2.52

## Properties
The calculation puts the calculated volume at 31.35 A^3/atom.

---

*x*
First-principles (PBE-GGA) data for a relaxed structure of CdFeCl4, as listed in Alexandria via LeMat-Bulk.

a = 5.8912 Å, b = 5.8912 Å, c = 5.8912 Å
α = 60.00°, β = 60.00°, γ = 60.00°
With the nearest neighbours (Å) after each atom.
Element x y z (fractional)
Cd  0.0000  0.0000  0.0000  12 Cl 3.45, 4 Fe 3.61
Fe  0.2500  0.2500  0.2500  12 Cl 3.45, 4 Cd 3.61
Cl  0.1253  0.6249  0.6249  6 Cl 2.94-2.95
Cl  0.6249  0.1253  0.6249  6 Cl 2.94-2.95
Cl  0.6249  0.6249  0.1253  6 Cl 2.94-2.95
Cl  0.6249  0.6249  0.6249  6 Cl 2.94-2.95

## Properties
The calculation puts the calculated volume at 24.10 A^3/atom.

---

In order of decreasing stability: *w*, *x*.

---

*w*
First-principles (PBE-GGA) data for a relaxed structure of CdGa2Cl8, as listed in Alexandria via LeMat-Bulk.

a = 9.9498 Å, b = 9.9498 Å, c = 11.8988 Å
α = 124.00°, β = 124.00°, γ = 52.44°
With the nearest neighbours (Å) after each atom.
Element x y z (fractional)
Cd  0.0010  0.9990  0.7500  6 Cl 2.67-2.72
Cd  0.9990  0.0010  0.2500  6 Cl 2.67-2.72
Ga  0.1595  0.6656  0.4615  4 Cl 2.14-2.25
Ga  0.3344  0.8405  0.0385  4 Cl 2.14-2.25
Ga  0.6656  0.1595  0.9615  4 Cl 2.14-2.25
Ga  0.8405  0.3344  0.5385  4 Cl 2.14-2.25
Cl  0.1131  0.1981  0.5218  1 Ga 2.25
Cl  0.1316  0.6834  0.2696  1 Ga 2.24
Cl  0.1556  0.7194  0.8366  1 Ga 2.23
Cl  0.1981  0.1131  0.0218  1 Ga 2.25
Cl  0.2806  0.8444  0.6634  1 Ga 2.23
Cl  0.3039  0.3897  0.4471  1 Ga 2.14
Cl  0.3166  0.8684  0.2304  1 Ga 2.24
Cl  0.3897  0.3039  0.9471  1 Ga 2.14
Cl  0.6103  0.6961  0.0529  1 Ga 2.14
Cl  0.6834  0.1316  0.7696  1 Ga 2.24
Cl  0.6961  0.6103  0.5529  1 Ga 2.14
Cl  0.7194  0.1556  0.3366  1 Ga 2.23
Cl  0.8019  0.8869  0.9782  1 Ga 2.25
Cl  0.8444  0.2806  0.1634  1 Ga 2.23
Cl  0.8684  0.3166  0.7304  1 Ga 2.24
Cl  0.8869  0.8019  0.4782  1 Ga 2.25

## Properties
The calculation puts the calculated volume at 33.19 A^3/atom.

---

*x*
First-principles (PBE-GGA) data for a relaxed structure of CdGa2Cl8, as listed in Alexandria via LeMat-Bulk.

a = 7.7891 Å, b = 7.7891 Å, c = 6.1980 Å
α = 95.37°, β = 95.37°, γ = 76.20°
With the nearest neighbours (Å) after each atom.
Element x y z (fractional)
Cd  0.0000  0.0000  0.0000  6 Cl 2.66-2.75
Ga  0.2004  0.2004  0.6520  4 Cl 2.14-2.25
Ga  0.7996  0.7996  0.3480  4 Cl 2.14-2.25
Cl  0.0741  0.7171  0.2309  1 Ga 2.25
Cl  0.1873  0.1873  0.2912  1 Ga 2.22
Cl  0.2829  0.9259  0.7691  1 Ga 2.25
Cl  0.3706  0.3706  0.7785  1 Ga 2.14
Cl  0.6294  0.6294  0.2215  1 Ga 2.14
Cl  0.7171  0.0741  0.2309  1 Ga 2.25
Cl  0.8127  0.8127  0.7088  1 Ga 2.22
Cl  0.9259  0.2829  0.7691  1 Ga 2.25

## Properties
The calculation puts the calculated volume at 32.96 A^3/atom.

---

In order of decreasing stability: *w*, *x*.

---

*w*
First-principles (PBE-GGA) data for a relaxed structure of CdGaCl2, as listed in Alexandria via LeMat-Bulk.

a = 7.2673 Å, b = 7.2673 Å, c = 7.2673 Å
α = 90.00°, β = 90.00°, γ = 90.00°
With the nearest neighbours (Å) after each atom.
Element x y z (fractional)
Cd  0.0000  0.0000  0.0000  8 Cl 3.15
Cd  0.0000  0.5000  0.5000  8 Cl 3.15
Cd  0.5000  0.0000  0.5000  8 Cl 3.15
Cd  0.5000  0.5000  0.0000  8 Cl 3.15
Ga  0.0000  0.0000  0.5000  8 Cl 3.15
Ga  0.0000  0.5000  0.0000  8 Cl 3.15
Ga  0.5000  0.0000  0.0000  8 Cl 3.15
Ga  0.5000  0.5000  0.5000  8 Cl 3.15
Cl  0.2500  0.2500  0.2500  4 Cd 3.15, 4 Ga 3.15
Cl  0.2500  0.2500  0.7500  4 Cd 3.15, 4 Ga 3.15
Cl  0.2500  0.7500  0.2500  4 Cd 3.15, 4 Ga 3.15
Cl  0.2500  0.7500  0.7500  4 Cd 3.15, 4 Ga 3.15
Cl  0.7500  0.2500  0.2500  4 Cd 3.15, 4 Ga 3.15
Cl  0.7500  0.2500  0.7500  4 Cd 3.15, 4 Ga 3.15
Cl  0.7500  0.7500  0.2500  4 Cd 3.15, 4 Ga 3.15
Cl  0.7500  0.7500  0.7500  4 Cd 3.15, 4 Ga 3.15

## Properties
The calculation puts the calculated volume at 23.99 A^3/atom.

---

*x*
First-principles (PBE-GGA) data for a relaxed structure of CdGaCl2, as listed in Alexandria via LeMat-Bulk.

a = 5.9833 Å, b = 5.9833 Å, c = 15.5712 Å
α = 90.00°, β = 90.00°, γ = 90.00°
With the nearest neighbours (Å) after each atom.
Element x y z (fractional)
Cd  0.0000  0.0000  0.0000  4 Cl 2.78
Cd  0.0000  0.5000  0.2500  4 Cl 2.78
Cd  0.5000  0.0000  0.7500  4 Cl 2.78
Cd  0.5000  0.5000  0.5000  4 Cl 2.78
Ga  0.0000  0.0000  0.5000  4 Cl 2.97
Ga  0.0000  0.5000  0.7500  4 Cl 2.97
Ga  0.5000  0.0000  0.2500  4 Cl 2.97
Ga  0.5000  0.5000  0.0000  4 Cl 2.97
Cl  0.2193  0.2500  0.1250  2 Cd 2.78, 2 Ga 2.97
Cl  0.2500  0.7193  0.3750  2 Cd 2.78, 2 Ga 2.97
Cl  0.2500  0.7807  0.8750  2 Cd 2.78, 2 Ga 2.97
Cl  0.2807  0.2500  0.6250  2 Cd 2.78, 2 Ga 2.97
Cl  0.7193  0.7500  0.6250  2 Cd 2.78, 2 Ga 2.97
Cl  0.7500  0.2193  0.8750  2 Cd 2.78, 2 Ga 2.97
Cl  0.7500  0.2807  0.3750  2 Cd 2.78, 2 Ga 2.97
Cl  0.7807  0.7500  0.1250  2 Cd 2.78, 2 Ga 2.97

## Properties
The calculation puts the calculated volume at 34.84 A^3/atom.

---

In order of decreasing stability: *x*, *w*.

---

*w*
First-principles (PBE-GGA) data for a relaxed structure of CdGa2Cl6, as listed in Alexandria via LeMat-Bulk.

a = 9.7933 Å, b = 9.7933 Å, c = 6.6737 Å
α = 97.51°, β = 97.51°, γ = 82.70°
With the nearest neighbours (Å) after each atom.
Element x y z (fractional)
Cd  0.0132  0.9868  0.7500  4 Cl 2.49-2.53
Cd  0.9868  0.0132  0.2500  4 Cl 2.49-2.53
Ga  0.3324  0.4994  0.7313  3 Cl 2.15-2.39
Ga  0.4994  0.3324  0.2313  3 Cl 2.15-2.39
Ga  0.5006  0.6676  0.7687  3 Cl 2.15-2.39
Ga  0.6676  0.5006  0.2687  3 Cl 2.15-2.39
Cl  0.0064  0.8069  0.4488  2 Cd 2.49-2.53
Cl  0.1286  0.5528  0.8253  1 Ga 2.15
Cl  0.1931  0.9936  0.0512  2 Cd 2.49-2.53
Cl  0.2921  0.4138  0.3794  2 Ga 2.38-2.39
Cl  0.4138  0.2921  0.8794  2 Ga 2.38-2.39
Cl  0.4472  0.8714  0.6747  1 Ga 2.15
Cl  0.5528  0.1286  0.3253  1 Ga 2.15
Cl  0.5862  0.7079  0.1206  2 Ga 2.38-2.39
Cl  0.7079  0.5862  0.6206  2 Ga 2.38-2.39
Cl  0.8069  0.0064  0.9488  2 Cd 2.49-2.53
Cl  0.8714  0.4472  0.1747  1 Ga 2.15
Cl  0.9936  0.1931  0.5512  2 Cd 2.49-2.53

## Properties
The calculation puts the calculated volume at 34.73 A^3/atom.

---

*x*
First-principles (PBE-GGA) data for a relaxed structure of CdGa2Cl6, as listed in Alexandria via LeMat-Bulk.

a = 8.5728 Å, b = 8.5728 Å, c = 8.3865 Å
α = 105.43°, β = 105.43°, γ = 86.96°
With the nearest neighbours (Å) after each atom.
Element x y z (fractional)
Cd  0.0723  0.9277  0.7500  4 Cl 2.57-2.68
Cd  0.9277  0.0723  0.2500  4 Cl 2.57-2.68
Ga  0.2240  0.4047  0.7579  4 Cl 2.39-2.45
Ga  0.4047  0.2240  0.2579  4 Cl 2.39-2.45
Ga  0.5953  0.7760  0.7421  4 Cl 2.39-2.45
Ga  0.7760  0.5953  0.2421  4 Cl 2.39-2.45
Cl  0.0103  0.1943  0.6372  1 Ga 2.45, 1 Cd 2.68
Cl  0.0462  0.6328  0.7582  1 Ga 2.41, 1 Cd 2.57
Cl  0.1943  0.0103  0.1372  1 Ga 2.45, 1 Cd 2.68
Cl  0.3461  0.3656  0.0389  2 Ga 2.39-2.42
Cl  0.3656  0.3461  0.5389  2 Ga 2.39-2.42
Cl  0.3672  0.9538  0.7418  1 Ga 2.41, 1 Cd 2.57
Cl  0.6328  0.0462  0.2582  1 Ga 2.41, 1 Cd 2.57
Cl  0.6344  0.6539  0.4611  2 Ga 2.39-2.42
Cl  0.6539  0.6344  0.9611  2 Ga 2.39-2.42
Cl  0.8057  0.9897  0.8628  1 Ga 2.45, 1 Cd 2.68
Cl  0.9538  0.3672  0.2418  1 Ga 2.41, 1 Cd 2.57
Cl  0.9897  0.8057  0.3628  1 Ga 2.45, 1 Cd 2.68

## Properties
The calculation puts the calculated volume at 31.81 A^3/atom.

---

In order of decreasing stability: *w*, *x*.

---

*w*
First-principles (PBE-GGA) data for a relaxed structure of CdGaPCl2, as listed in Alexandria via LeMat-Bulk.

a = 4.7774 Å, b = 4.7774 Å, c = 5.0970 Å
α = 90.00°, β = 90.00°, γ = 90.00°
With the nearest neighbours (Å) after each atom.
Element x y z (fractional)
Cd  0.0000  0.0000  0.0000  4 P 3.38, 8 Cl 3.49
Ga  0.5000  0.5000  0.5000  4 Cl 2.39, 2 P 2.55
P  0.5000  0.5000  0.0000  2 Ga 2.55
Cl  0.0000  0.5000  0.5000  2 Ga 2.39
Cl  0.5000  0.0000  0.5000  2 Ga 2.39

## Properties
The calculation puts the calculated volume at 23.27 A^3/atom.

---

*x*
First-principles (PBE-GGA) data for a relaxed structure of CdGaPCl2, as listed in Alexandria via LeMat-Bulk.

a = 5.4163 Å, b = 5.4163 Å, c = 5.0837 Å
α = 90.00°, β = 90.00°, γ = 90.00°
With the nearest neighbours (Å) after each atom.
Element x y z (fractional)
Cd  0.0000  0.0000  0.0000  2 P 2.54, 4 Cl 2.71
Ga  0.5000  0.5000  0.5000  8 Cl 3.71, 4 P 3.83
P  0.0000  0.0000  0.5000  2 Cd 2.54
Cl  0.0000  0.5000  0.0000  2 Cd 2.71
Cl  0.5000  0.0000  0.0000  2 Cd 2.71

## Properties
The calculation puts the calculated volume at 29.83 A^3/atom.

---

In order of decreasing stability: *w*, *x*.

---

*w*
First-principles (PBE-GGA) data for a relaxed structure of CdGaP2Cl, as listed in Alexandria via LeMat-Bulk.

a = 4.7782 Å, b = 4.7782 Å, c = 4.9234 Å
α = 90.00°, β = 90.00°, γ = 90.00°
With the nearest neighbours (Å) after each atom.
Element x y z (fractional)
Cd  0.0000  0.0000  0.0000  4 Cl 3.38, 8 P 3.43
Ga  0.5000  0.5000  0.5000  4 P 2.39, 2 Cl 2.46
P  0.0000  0.5000  0.5000  2 Ga 2.39
P  0.5000  0.0000  0.5000  2 Ga 2.39
Cl  0.5000  0.5000  0.0000  2 Ga 2.46

## Properties
The calculation puts the calculated volume at 22.48 A^3/atom.

---

*x*
First-principles (PBE-GGA) data for a relaxed structure of CdGaP2Cl, as listed in Alexandria via LeMat-Bulk.

a = 4.9843 Å, b = 4.9843 Å, c = 5.6440 Å
α = 90.00°, β = 90.00°, γ = 90.00°
With the nearest neighbours (Å) after each atom.
Element x y z (fractional)
Cd  0.0000  0.0000  0.0000  4 P 2.49
Ga  0.5000  0.5000  0.5000  4 Cl 3.52, 8 P 3.76
P  0.0000  0.5000  0.0000  2 Cd 2.49
P  0.5000  0.0000  0.0000  2 Cd 2.49
Cl  0.0000  0.0000  0.5000  2 Cd 2.82

## Properties
The calculation puts the calculated volume at 28.04 A^3/atom.

---

In order of decreasing stability: *w*, *x*.

---

*w*
First-principles (PBE-GGA) data for a relaxed structure of CdGaS2Cl, as listed in Alexandria via LeMat-Bulk.

a = 4.7750 Å, b = 4.7750 Å, c = 4.7724 Å
α = 90.00°, β = 90.00°, γ = 90.00°
With the nearest neighbours (Å) after each atom.
Element x y z (fractional)
Cd  0.0000  0.0000  0.0000  8 S 3.38, 4 Cl 3.38
Ga  0.5000  0.5000  0.5000  2 Cl 2.39, 4 S 2.39
S  0.0000  0.5000  0.5000  2 Ga 2.39
S  0.5000  0.0000  0.5000  2 Ga 2.39
Cl  0.5000  0.5000  0.0000  2 Ga 2.39

## Properties
The calculation puts the calculated volume at 21.76 A^3/atom.

---

*x*
First-principles (PBE-GGA) data for a relaxed structure of CdGaS2Cl, as listed in Alexandria via LeMat-Bulk.

a = 4.9991 Å, b = 4.9991 Å, c = 5.4809 Å
α = 90.00°, β = 90.00°, γ = 90.00°
With the nearest neighbours (Å) after each atom.
Element x y z (fractional)
Cd  0.0000  0.0000  0.0000  4 S 2.50, 2 Cl 2.74
Ga  0.5000  0.5000  0.5000  4 Cl 3.53, 8 S 3.71
S  0.0000  0.5000  0.0000  2 Cd 2.50
S  0.5000  0.0000  0.0000  2 Cd 2.50
Cl  0.0000  0.0000  0.5000  2 Cd 2.74

## Properties
The calculation puts the calculated volume at 27.39 A^3/atom.

---

In order of decreasing stability: *w*, *x*.